CsCoSn2Cl8 (PBE-GGA, optimized geometry); crystal system = triclinic; raw formation energy = -1046 meV/atom; V = 32.3 Å³/atom
1.0
-3.5900 5.0128 -2.5493
-2.3031 -4.1431 -5.5978
-7.5058 -5.5259 0.7119
Cl Sn Co Cs
8 2 1 1
direct
0.2346 0.1328 0.0962
0.0563 0.6766 0.2481
0.7654 0.8672 0.9038
0.4858 0.7323 0.5236
0.2412 0.9008 0.8861
0.9437 0.3234 0.7519
0.7588 0.0992 0.1139
0.5142 0.2677 0.4764
0.5361 0.2572 0.7615
0.4639 0.7428 0.2385
0.0000 0.0000 0.0000
0.0000 0.0000 0.5000

***

KNa2H8Pt (PBE-GGA, optimized geometry); crystal system = trigonal; total DFT energy (no corrections) = -3.178 eV/atom; V = 12.8 Å³/atom; N(E_F) = 0.6 states/eV per cell
1.0
5.0060 0.0000 0.0000
-2.5030 4.3354 0.0000
0.0000 0.0000 7.0792
K H Na Pt
1 8 2 1
direct
0.0000 0.0000 0.5000
0.8454 0.1546 0.8634
0.1546 0.8454 0.1366
0.6908 0.8454 0.1366
0.8454 0.6908 0.8634
0.3092 0.1546 0.8634
0.1546 0.3092 0.1366
0.6667 0.3333 0.4785
0.3333 0.6667 0.5215
0.6667 0.3333 0.1450
0.3333 0.6667 0.8550
0.0000 0.0000 0.0000

***

Ba2In2Hg (PBE-GGA, optimized geometry); crystal system = tetragonal; formation energy = -1.2 eV/f.u.; V = 41.5 Å³/atom; N(E_F) = 10.3 states/eV per cell; ΔE to the lowest computed polymorph = 189.9 meV per atom
1.0
-8.3478 5.2443 1.3006
-4.7549 -8.2671 2.8155
1.0828 0.7349 3.9867
Ba In Hg
4 4 2
direct
0.3107 0.8107 0.0000
0.6893 0.1893 0.0000
0.1893 0.3107 0.0000
0.8107 0.6893 0.0000
0.3956 0.1044 0.5000
0.6044 0.8956 0.5000
0.1044 0.6044 0.5000
0.8956 0.3956 0.5000
0.5000 0.5000 0.0000
0.0000 0.0000 0.0000

***

Cd2AgIr (PBE-GGA, optimized geometry); crystal system = tetragonal; formation energy = 0.6 eV/f.u.; V = 18.0 Å³/atom; N(E_F) = 1.6 states/eV per cell
1.0
-2.1830 -3.2038 3.3434
0.1720 -4.7992 -1.7738
3.5923 3.6090 0.5280
Ir Cd Ag
1 2 1
direct
0.5000 0.5000 0.0000
0.0000 0.0000 0.0000
0.2500 0.7500 0.5000
0.7500 0.2500 0.5000

***

B5C7 (PBE-GGA, optimized geometry); crystal system = monoclinic; formation energy = 4.6 eV/f.u.; V = 6.7 Å³/atom; N(E_F) = 1.6 states/eV per cell; ΔE to the lowest computed polymorph = 122.2 meV per atom
1.0
-1.4093 -1.0740 1.8046
3.8792 -2.2775 1.6741
0.8515 5.3043 3.8220
C B
7 5
direct
0.0000 0.3453 0.3262
0.5000 0.8207 0.5964
0.5000 0.1479 0.6661
0.5000 0.4724 0.2455
0.0000 0.6708 0.6746
0.0000 0.6907 0.9086
0.0000 0.9946 0.9992
0.5000 0.1269 0.9005
0.0000 0.0243 0.2377
0.5000 0.5564 0.0189
0.0000 0.3426 0.5756
0.5000 0.8075 0.3508

***

ThGa4Cu2Pd (PBE-GGA, optimized geometry); crystal system = trigonal; formation energy = -3.0 eV/f.u.; V = 17.4 Å³/atom; N(E_F) = 3.6 states/eV per cell
1.0
-0.5896 -1.5998 3.8854
0.8384 -4.0893 0.7602
8.4676 0.2214 3.6930
Ga Cu Pd Th
4 2 1 1
direct
0.5985 0.5985 0.2045
0.4015 0.4015 0.7955
0.8733 0.8733 0.3800
0.1267 0.1267 0.6200
0.7583 0.7583 0.7252
0.2417 0.2417 0.2748
0.5000 0.5000 0.5000
0.0000 0.0000 0.0000

***

Among the records above, which one has the highest V?
Ba2In2Hg

***

Please write out number 5 again, unchanged.
B5C7 (PBE-GGA, optimized geometry); crystal system = monoclinic; formation energy = 4.6 eV/f.u.; V = 6.7 Å³/atom; N(E_F) = 1.6 states/eV per cell; ΔE to the lowest computed polymorph = 122.2 meV per atom
1.0
-1.4093 -1.0740 1.8046
3.8792 -2.2775 1.6741
0.8515 5.3043 3.8220
C B
7 5
direct
0.0000 0.3453 0.3262
0.5000 0.8207 0.5964
0.5000 0.1479 0.6661
0.5000 0.4724 0.2455
0.0000 0.6708 0.6746
0.0000 0.6907 0.9086
0.0000 0.9946 0.9992
0.5000 0.1269 0.9005
0.0000 0.0243 0.2377
0.5000 0.5564 0.0189
0.0000 0.3426 0.5756
0.5000 0.8075 0.3508